1.
Below is a geometry-optimized PrMg2Cd2Ag2 structure, with properties calculated at the PBE level.

## Properties
- Raw total energy: -2.42 eV/atom
- Crystal system: trigonal

Lattice parameters (Å, degrees): 4.868 4.868 8.414 73.19 73.19 60.00
Sites, in units of the cell vectors:
Mg: 0.863 0.863 0.411
Mg: 0.137 0.137 0.589
Cd: 0.585 0.585 0.244
Cd: 0.415 0.415 0.756
Ag: 0.745 0.745 0.764
Ag: 0.255 0.255 0.236
Pr: 0.000 0.000 0.000

2.
Below is a geometry-optimized PrMgCd2Ag4 structure, with properties calculated at the PBE level.

## Properties
- Raw total energy: -2.64 eV/atom
- Crystal system: trigonal

Lattice parameters (Å, degrees): 4.865 4.865 8.775 73.91 73.91 60.00
Sites, in units of the cell vectors:
Ag: 0.130 0.130 0.609
Ag: 0.870 0.870 0.391
Ag: 0.610 0.610 0.171
Ag: 0.390 0.390 0.829
Cd: 0.750 0.750 0.750
Cd: 0.250 0.250 0.250
Mg: 0.500 0.500 0.500
Pr: 0.000 0.000 0.000

3.
Below is a geometry-optimized Pr2Mg12CdAg3 structure, with properties calculated at the PBE level.

## Properties
- Raw total energy: -2.03 eV/atom
- Crystal system: trigonal

Lattice parameters (Å, degrees): 7.662 7.662 7.662 84.27 84.27 84.27
Sites, in units of the cell vectors:
Mg: 0.068 0.622 0.622
Mg: 0.378 0.378 0.932
Mg: 0.622 0.622 0.068
Mg: 0.622 0.068 0.622
Mg: 0.814 0.294 0.814
Mg: 0.378 0.932 0.378
Mg: 0.186 0.706 0.186
Mg: 0.814 0.814 0.294
Mg: 0.706 0.186 0.186
Mg: 0.294 0.814 0.814
Mg: 0.932 0.378 0.378
Mg: 0.186 0.186 0.706
Ag: 0.000 0.000 0.500
Ag: 0.500 0.000 0.000
Ag: 0.000 0.500 0.000
Pr: 0.380 0.380 0.380
Pr: 0.620 0.620 0.620
Cd: 0.000 0.000 0.000